#1
Compound: BiRh2C
Source: the Alexandria database
Functional: GGA-PBE
Structure: optimized geometry

```
data_BiRh2C
_symmetry_space_group_name_H-M 'I -4 2 d'
_symmetry_Int_Tables_number 122
_symmetry_space_group_name_Hall 'I -4 2bw'
_cell_length_a 5.370
_cell_length_b 5.370
_cell_length_c 10.157
_cell_angle_alpha 90.00
_cell_angle_beta 90.00
_cell_angle_gamma 90.00
loop_
_atom_site_label
_atom_site_type_symbol
_atom_site_fract_x
_atom_site_fract_y
_atom_site_fract_z
Bi1 Bi 0.000 0.000 0.000
Rh1 Rh 0.128 0.250 0.625
C1 C 0.000 0.000 0.500
```



#2
Compound: BiRh2C
Source: the Alexandria database
Functional: GGA-PBE
Structure: optimized geometry

```
data_BiRh2C
_symmetry_space_group_name_H-M 'F m -3 m'
_symmetry_Int_Tables_number 225
_symmetry_space_group_name_Hall '-F 4 2 3'
_cell_length_a 6.282
_cell_length_b 6.282
_cell_length_c 6.282
_cell_angle_alpha 90.00
_cell_angle_beta 90.00
_cell_angle_gamma 90.00
loop_
_atom_site_label
_atom_site_type_symbol
_atom_site_fract_x
_atom_site_fract_y
_atom_site_fract_z
Bi1 Bi 0.000 0.000 0.000
Rh1 Rh 0.250 0.250 0.250
C1 C 0.000 0.000 0.500
```



Stability order, top to bottom: #1, #2



#1
Compound: Y2BiRuC
Source: the Alexandria database
Functional: GGA-PBE
Structure: optimized geometry

```
data_Y2BiRuC
_symmetry_space_group_name_H-M 'P 4/m m m'
_symmetry_Int_Tables_number 123
_symmetry_space_group_name_Hall '-P 4 2'
_cell_length_a 5.752
_cell_length_b 5.752
_cell_length_c 4.906
_cell_angle_alpha 90.00
_cell_angle_beta 90.00
_cell_angle_gamma 90.00
loop_
_atom_site_label
_atom_site_type_symbol
_atom_site_fract_x
_atom_site_fract_y
_atom_site_fract_z
Y1 Y 0.000 0.500 0.000
Bi1 Bi 0.000 0.000 0.000
Ru1 Ru 0.000 0.000 0.500
C1 C 0.500 0.500 0.500
```



#2
Compound: Y2BiRuC
Source: the Alexandria database
Functional: GGA-PBE
Structure: optimized geometry

```
data_Y2BiRuC
_symmetry_space_group_name_H-M 'P 4/m m m'
_symmetry_Int_Tables_number 123
_symmetry_space_group_name_Hall '-P 4 2'
_cell_length_a 5.111
_cell_length_b 5.111
_cell_length_c 3.990
_cell_angle_alpha 90.00
_cell_angle_beta 90.00
_cell_angle_gamma 90.00
loop_
_atom_site_label
_atom_site_type_symbol
_atom_site_fract_x
_atom_site_fract_y
_atom_site_fract_z
Y1 Y 0.000 0.500 0.000
Bi1 Bi 0.000 0.000 0.500
Ru1 Ru 0.500 0.500 0.500
C1 C 0.500 0.500 0.000
```



Stability order, top to bottom: #2, #1



#1
Compound: BiC2S
Source: the Alexandria database
Functional: GGA-PBE
Structure: optimized geometry

```
data_BiC2S
_symmetry_space_group_name_H-M 'F m -3 m'
_symmetry_Int_Tables_number 225
_symmetry_space_group_name_Hall '-F 4 2 3'
_cell_length_a 6.131
_cell_length_b 6.131
_cell_length_c 6.131
_cell_angle_alpha 90.00
_cell_angle_beta 90.00
_cell_angle_gamma 90.00
loop_
_atom_site_label
_atom_site_type_symbol
_atom_site_fract_x
_atom_site_fract_y
_atom_site_fract_z
Bi1 Bi 0.000 0.000 0.000
C1 C 0.250 0.250 0.250
S1 S 0.000 0.000 0.500
```



#2
Compound: BiC2S
Source: the Alexandria database
Functional: GGA-PBE
Structure: optimized geometry

```
data_BiC2S
_symmetry_space_group_name_H-M 'I -4 2 d'
_symmetry_Int_Tables_number 122
_symmetry_space_group_name_Hall 'I -4 2bw'
_cell_length_a 5.437
_cell_length_b 5.437
_cell_length_c 7.652
_cell_angle_alpha 90.00
_cell_angle_beta 90.00
_cell_angle_gamma 90.00
loop_
_atom_site_label
_atom_site_type_symbol
_atom_site_fract_x
_atom_site_fract_y
_atom_site_fract_z
Bi1 Bi 0.000 0.000 0.000
C1 C 0.128 0.250 0.625
S1 S 0.000 0.000 0.500
```



Stability order, top to bottom: #2, #1